Entry 1:
The following is a PBE calculation of crystalline Tl2CdSn3Au4 at its relaxed geometry, from the Alexandria database.

Cell: 4.8520 4.8520 11.1046 Å, 90.00 90.00 90.00°
Atoms (fractional coordinates):
Tl 0.0000 0.5000 0.2397
Tl 0.5000 0.0000 0.7603
Cd 0.0000 0.0000 0.5000
Sn 0.0000 0.5000 0.8755
Sn 0.5000 0.0000 0.1245
Sn 0.5000 0.5000 0.5000
Au 0.0000 0.0000 0.0000
Au 0.0000 0.5000 0.6303
Au 0.5000 0.0000 0.3697
Au 0.5000 0.5000 0.0000

Summary:
SG ... No. 115
Energy relative to the elements ... -107 meV per atom
Density ... 10.577 g cm⁻³

Entry 2:
The following is a PBE calculation of crystalline Ag4S2Br at its relaxed geometry, from the Alexandria database.

Cell: 7.0649 7.0649 11.9586 Å, 90.00 90.00 149.26°
Atoms (fractional coordinates):
Ag 0.0000 0.0000 0.0000
Ag 0.0000 0.0000 0.5000
Ag 0.2556 0.7444 0.6207
Ag 0.2556 0.7444 0.8793
Ag 0.3832 0.6168 0.2500
Ag 0.6168 0.3832 0.7500
Ag 0.7444 0.2556 0.1207
Ag 0.7444 0.2556 0.3793
S 0.3820 0.6180 0.0495
S 0.3820 0.6180 0.4505
S 0.6180 0.3820 0.5495
S 0.6180 0.3820 0.9505
Br 0.1256 0.8744 0.2500
Br 0.8744 0.1256 0.7500

Summary:
SG ... No. 63
Uncorrected formation energy ... -0.0728 eV per atom
Density ... 6.264 g cm⁻³
E above lowest polymorph ... 0.09 eV/f.u.

Entry 3:
The following is a PBE calculation of crystalline Fe3C at its relaxed geometry, from the Alexandria database.

Cell: 2.4609 2.4609 6.0153 Å, 90.00 90.00 90.00°
Atoms (fractional coordinates):
Fe 0.0000 0.0000 0.0000
Fe 0.5000 0.5000 0.3090
Fe 0.5000 0.5000 0.6910
C 0.0000 0.0000 0.5000

Summary:
SG ... No. 123
Energy relative to the elements ... 398 meV per atom
Density ... 8.184 g cm⁻³

no.,calculated volume (Å³/f.u.),uncorrected energy (eV per atom),total magnetization (μB/cell)
1,261.42,-3.1835,0.0
2,152.57,-3.1203,0.0
3,36.43,-8.2548,0.4